DFT (PBE) results for a relaxed Nd6Tm5Mg crystal.

a b c (Å): 5.1227 9.7913 15.3565
angles (deg): 90.00 90.00 90.00
With the nearest neighbours (Å) after each atom.
Space group Immm (No. 71)
One atom of each set of equivalent atoms:
Nd  0.0000  0.2477  0.0000 (multiplicity 4)  2 Mg 3.53, 6 Tm 3.54-3.56, 4 Nd 3.63
Nd  0.0000  0.2525  0.3325 (multiplicity 8)  7 Tm 3.52-3.57, 1 Mg 3.53, 4 Nd 3.60-3.63
Tm  0.0000  0.0000  0.1693 (multiplicity 4)  8 Nd 3.52-3.56, 2 Tm 3.61, 2 Mg 3.65
Tm  0.0000  0.0000  0.5000 (multiplicity 2)  8 Nd 3.56-3.57, 4 Tm 3.60
Tm  0.0000  0.5000  0.1648 (multiplicity 4)  8 Nd 3.54-3.56, 4 Tm 3.60-3.61
Mg  0.0000  0.5000  0.5000 (multiplicity 2)  8 Nd 3.53, 4 Tm 3.65

Calculated values
The calculation puts the total energy at -52.4 eV per formula unit. The calculation puts the calculated formation energy at 0.20 eV/f.u.